[1]
VASP calculation (PBE) on an optimized crystal structure of ReSn2HBr.

The calculation puts the total magnetization at 2.7 μB/f.u. Its uncorrected energy is -4.02 eV/atom.

Structure (POSCAR):
```
ReSn2HBr
1.0
4.3525 0.0000 0.0000
0.0000 4.3525 0.0000
0.0000 0.0000 5.0572
Re Sn H Br
1 2 1 1
Direct
0.0000 0.0000 0.0000
0.0000 0.5000 0.5000
0.5000 0.0000 0.5000
0.5000 0.5000 0.5000
0.5000 0.5000 0.0000
```



[2]
VASP calculation (PBE) on an optimized crystal structure of SrRe2HBr.

The calculation puts the total magnetization at 0.0 μB/f.u. Its uncorrected energy is -5.75 eV/atom.

Structure (POSCAR):
```
SrRe2HBr
1.0
3.8595 0.0000 0.0000
0.0000 3.8595 0.0000
0.0000 0.0000 6.5855
Sr Re H Br
1 2 1 1
Direct
0.0000 0.0000 0.0000
0.0000 0.5000 0.5000
0.5000 0.0000 0.5000
0.5000 0.5000 0.5000
0.5000 0.5000 0.0000
```



[3]
VASP calculation (PBE) on an optimized crystal structure of Re2TcHBr.

The calculation puts the total magnetization at 0.0 μB/f.u. Its uncorrected energy is -6.50 eV/atom.

Structure (POSCAR):
```
Re2TcHBr
1.0
4.8730 0.0000 0.0000
0.0000 4.8730 0.0000
0.0000 0.0000 3.2505
Re Tc H Br
2 1 1 1
Direct
0.0000 0.5000 0.0000
0.5000 0.0000 0.0000
0.0000 0.0000 0.0000
0.0000 0.0000 0.5000
0.5000 0.5000 0.5000
```



[4]
VASP calculation (PBE) on an optimized crystal structure of H3RhBr.

The calculation puts the total magnetization at 0.0 μB/f.u. Its uncorrected energy is -2.41 eV/atom.

Structure (POSCAR):
```
H3RhBr
1.0
3.7227 0.0000 0.0000
0.0000 3.7227 0.0000
0.0000 0.0000 3.7227
H Rh Br
3 1 1
Direct
0.0000 0.0000 0.5000
0.0000 0.5000 0.0000
0.5000 0.0000 0.0000
0.5000 0.5000 0.5000
0.0000 0.0000 0.0000
```



[5]
VASP calculation (PBE) on an optimized crystal structure of HRhBr2.

The calculation puts the total magnetization at 0.0 μB/f.u. Its uncorrected energy is -3.06 eV/atom.

Structure (POSCAR):
```
HRhBr2
1.0
-2.7340 2.7340 5.0952
2.7340 -2.7340 5.0952
2.7340 2.7340 -5.0952
H Rh Br
2 2 4
Direct
0.0000 0.0000 0.0000
0.7500 0.2500 0.5000
0.2500 0.7500 0.5000
0.5000 0.5000 0.0000
0.0786 0.6250 0.9536
0.3750 0.3286 0.4536
0.6714 0.1250 0.0464
0.8750 0.9214 0.5464
```



[6]
VASP calculation (PBE) on an optimized crystal structure of H3RhBr.

The calculation puts the total magnetization at 0.6 μB/f.u. Its uncorrected energy is -3.21 eV/atom.

Structure (POSCAR):
```
H3RhBr
1.0
3.6748 0.0000 0.0000
0.0000 3.6748 0.0000
0.0000 0.0000 3.6748
H Rh Br
3 1 1
Direct
0.0000 0.0000 0.5000
0.0000 0.5000 0.0000
0.5000 0.0000 0.0000
0.0000 0.0000 0.0000
0.5000 0.5000 0.5000
```